--- a ---
First-principles (PBE-GGA) data for a geometry-optimized Zr4Be structure, as listed in Alexandria via LeMat-Bulk.

Cell: 4.795 4.795 4.795 Å, 90.00 90.00 90.00°
Last column: magnetic moment on the atom in μB.
Fractional positions:
Be: 0.500 0.500 0.500  0.03
Zr: 0.000 0.000 0.000  0.24
Zr: 0.500 0.000 0.500  0.12
Zr: 0.000 0.500 0.500  0.12
Zr: 0.500 0.500 0.000  0.12

Properties
As for the volume: 22.05 A^3/atom.

---

--- b ---
First-principles (PBE-GGA) data for a geometry-optimized Zr4Be structure, as listed in Alexandria via LeMat-Bulk.

Cell: 5.242 5.242 5.242 Å, 109.47 109.47 109.47°
Fractional positions:
Zr: 0.500 0.000 0.000
Zr: 0.500 0.500 0.500
Zr: 0.000 0.500 0.000
Zr: 0.000 0.000 0.500
Be: 0.000 0.000 0.000

Properties
As for the volume: 22.18 A^3/atom.

---

Short version: b is the least stable of them.

---

--- a ---
First-principles (PBE-GGA) data for a geometry-optimized BiC2Br structure, as listed in Alexandria via LeMat-Bulk.

Cell: 4.519 4.519 4.519 Å, 60.00 60.00 60.00°
Fractional positions:
C: 0.250 0.250 0.250
C: 0.750 0.750 0.750
Bi: 0.500 0.500 0.500
Br: 0.000 0.000 0.000

Properties
As for the volume: 16.32 A^3/atom.

---

--- b ---
First-principles (PBE-GGA) data for a geometry-optimized BiC2Br structure, as listed in Alexandria via LeMat-Bulk.

Cell: 5.135 5.135 7.199 Å, 69.11 69.11 90.00°
Fractional positions:
C: 0.608 0.125 0.250
C: 0.142 0.625 0.250
C: 0.375 0.392 0.750
C: 0.875 0.858 0.750
Bi: 0.000 0.000 0.000
Bi: 0.750 0.250 0.500
Br: 0.500 0.500 0.000
Br: 0.250 0.750 0.500

Properties
As for the volume: 20.49 A^3/atom.

---

Short version: a is the least stable of them.

---

--- a ---
First-principles (PBE-GGA) data for a geometry-optimized BiCBr3 structure, as listed in Alexandria via LeMat-Bulk.

Cell: 4.830 4.830 4.830 Å, 90.00 90.00 90.00°
Fractional positions:
Bi: 0.500 0.500 0.500
C: 0.000 0.000 0.000
Br: 0.000 0.500 0.000
Br: 0.000 0.000 0.500
Br: 0.500 0.000 0.000

Properties
As for the volume: 22.53 A^3/atom.

---

--- b ---
First-principles (PBE-GGA) data for a geometry-optimized BiCBr3 structure, as listed in Alexandria via LeMat-Bulk.

Cell: 5.725 5.725 5.725 Å, 90.00 90.00 90.00°
Last column: magnetic moment on the atom in μB.
Fractional positions:
Bi: 0.000 0.000 0.000  0.01
C: 0.500 0.500 0.500  0.97
Br: 0.000 0.500 0.000  0.00
Br: 0.000 0.000 0.500  0.00
Br: 0.500 0.000 0.000  0.00

Properties
As for the volume: 37.52 A^3/atom.

---

Short version: b is the least stable of them.

---

--- a ---
First-principles (PBE-GGA) data for a geometry-optimized BiCSe2Br structure, as listed in Alexandria via LeMat-Bulk.

Cell: 5.644 5.644 5.618 Å, 90.00 90.00 90.00°
Last column: magnetic moment on the atom in μB.
Fractional positions:
C: 0.500 0.500 0.500  0.90
Se: 0.000 0.500 0.000  -0.53
Se: 0.500 0.000 0.000  -0.53
Bi: 0.000 0.000 0.000  0.01
Br: 0.000 0.000 0.500  -0.02

Properties
As for the volume: 35.80 A^3/atom.

---

--- b ---
First-principles (PBE-GGA) data for a geometry-optimized BiCSe2Br structure, as listed in Alexandria via LeMat-Bulk.

Cell: 4.599 4.599 4.730 Å, 90.00 90.00 90.00°
Fractional positions:
C: 0.000 0.000 0.000
Se: 0.000 0.500 0.000
Se: 0.500 0.000 0.000
Bi: 0.500 0.500 0.500
Br: 0.000 0.000 0.500

Properties
As for the volume: 20.01 A^3/atom.

---

Short version: a is the least stable of them.

---

--- a ---
First-principles (PBE-GGA) data for a geometry-optimized CaBi2Br2 structure, as listed in Alexandria via LeMat-Bulk.

Cell: 7.445 7.445 8.160 Å, 90.00 90.00 90.00°
Fractional positions:
Ca: 0.000 0.000 0.000
Ca: 0.500 0.500 0.000
Bi: 0.133 0.633 0.500
Bi: 0.633 0.867 0.500
Bi: 0.867 0.367 0.500
Bi: 0.367 0.133 0.500
Br: 0.326 0.826 0.000
Br: 0.826 0.674 0.000
Br: 0.674 0.174 0.000
Br: 0.174 0.326 0.000

Properties
As for the volume: 45.23 A^3/atom.

---

--- b ---
First-principles (PBE-GGA) data for a geometry-optimized CaBi2Br2 structure, as listed in Alexandria via LeMat-Bulk.

Cell: 4.203 4.203 12.657 Å, 80.44 80.44 90.00°
Fractional positions:
Ca: 0.000 0.000 0.000
Bi: 0.750 0.250 0.500
Bi: 0.250 0.750 0.500
Br: 0.433 0.433 0.135
Br: 0.567 0.567 0.865

Properties
As for the volume: 43.46 A^3/atom.

---

Short version: a is the least stable of them.

---

--- a ---
First-principles (PBE-GGA) data for a geometry-optimized SrCaBiBr structure, as listed in Alexandria via LeMat-Bulk.

Cell: 4.677 4.673 8.348 Å, 90.03 106.23 120.02°
Fractional positions:
Sr: 0.490 0.143 0.649
Ca: 0.114 0.955 0.085
Bi: 0.314 0.555 0.884
Br: 0.959 0.378 0.351

Properties
As for the volume: 37.38 A^3/atom.

---

--- b ---
First-principles (PBE-GGA) data for a geometry-optimized SrCaBiBr structure, as listed in Alexandria via LeMat-Bulk.

Cell: 5.665 5.665 5.665 Å, 60.00 60.00 60.00°
Fractional positions:
Sr: 0.750 0.750 0.750
Ca: 0.250 0.250 0.250
Bi: 0.000 0.000 0.000
Br: 0.500 0.500 0.500

Properties
As for the volume: 32.14 A^3/atom.

---

Short version: b is the least stable of them.

---

--- a ---
First-principles (PBE-GGA) data for a geometry-optimized CdBi2Br8 structure, as listed in Alexandria via LeMat-Bulk.

Cell: 7.516 8.309 8.309 Å, 82.55 77.57 77.57°
Fractional positions:
Cd: 0.000 0.000 0.000
Bi: 0.409 0.162 0.162
Bi: 0.591 0.838 0.838
Br: 0.770 0.108 0.750
Br: 0.230 0.250 0.892
Br: 0.764 0.212 0.212
Br: 0.236 0.788 0.788
Br: 0.770 0.750 0.108
Br: 0.230 0.892 0.250
Br: 0.208 0.370 0.370
Br: 0.792 0.630 0.630

Properties
As for the volume: 44.82 A^3/atom.

---

--- b ---
First-principles (PBE-GGA) data for a geometry-optimized CdBi2Br8 structure, as listed in Alexandria via LeMat-Bulk.

Cell: 3.933 10.374 10.159 Å, 89.47 101.16 90.00°
Fractional positions:
Cd: 0.500 0.000 0.000
Bi: 0.154 0.739 0.309
Bi: 0.846 0.261 0.691
Br: 0.597 0.567 0.193
Br: 0.357 0.038 0.714
Br: 0.237 0.300 0.475
Br: 0.997 0.811 0.994
Br: 0.763 0.700 0.525
Br: 0.643 0.962 0.286
Br: 0.403 0.433 0.807
Br: 0.003 0.189 0.006

Properties
As for the volume: 36.97 A^3/atom.

---

Short version: a is the least stable of them.

---

--- a ---
First-principles (PBE-GGA) data for a geometry-optimized CdBi2Br structure, as listed in Alexandria via LeMat-Bulk.

Cell: 5.422 5.422 5.422 Å, 60.00 60.00 60.00°
Fractional positions:
Bi: 0.250 0.250 0.250
Bi: 0.750 0.750 0.750
Br: 0.000 0.000 0.000
Cd: 0.500 0.500 0.500

Properties
As for the volume: 28.18 A^3/atom.

---

--- b ---
First-principles (PBE-GGA) data for a geometry-optimized CdBi2Br structure, as listed in Alexandria via LeMat-Bulk.

Cell: 4.664 4.664 12.317 Å, 79.09 79.09 90.00°
Fractional positions:
Bi: 0.666 0.125 0.250
Bi: 0.084 0.625 0.250
Bi: 0.375 0.334 0.750
Bi: 0.875 0.916 0.750
Br: 0.500 0.500 0.000
Br: 0.250 0.750 0.500
Cd: 0.000 0.000 0.000
Cd: 0.750 0.250 0.500

Properties
As for the volume: 32.28 A^3/atom.

---

Short version: a is the least stable of them.

---

--- a ---
First-principles (PBE-GGA) data for a geometry-optimized Cd2ReBiBr structure, as listed in Alexandria via LeMat-Bulk.

Cell: 5.912 5.758 5.912 Å, 90.00 90.00 90.00°
Last column: magnetic moment on the atom in μB.
Fractional positions:
Re: 0.500 0.500 0.500  4.07
Bi: 0.000 0.000 0.000  0.00
Br: 0.000 0.500 0.000  0.02
Cd: 0.000 0.000 0.500  0.00
Cd: 0.500 0.000 0.000  -0.01

Properties
As for the volume: 40.25 A^3/atom.

---

--- b ---
First-principles (PBE-GGA) data for a geometry-optimized Cd2ReBiBr structure, as listed in Alexandria via LeMat-Bulk.

Cell: 5.867 5.361 5.867 Å, 90.00 90.00 90.00°
Last column: magnetic moment on the atom in μB.
Fractional positions:
Re: 0.000 0.500 0.000  3.02
Bi: 0.000 0.000 0.000  -0.09
Br: 0.500 0.500 0.500  0.08
Cd: 0.000 0.000 0.500  -0.02
Cd: 0.500 0.000 0.000  0.00

Properties
As for the volume: 36.90 A^3/atom.

---

Short version: a is the least stable of them.

---

--- a ---
First-principles (PBE-GGA) data for a geometry-optimized Ce2BiBr structure, as listed in Alexandria via LeMat-Bulk.

Cell: 5.478 5.478 5.478 Å, 60.00 60.00 60.00°
Last column: magnetic moment on the atom in μB.
Fractional positions:
Br: 0.500 0.500 0.500  -0.03
Bi: 0.000 0.000 0.000  -0.07
Ce: 0.250 0.250 0.250  1.30
Ce: 0.750 0.750 0.750  1.30

Properties
As for the volume: 29.06 A^3/atom.

---

--- b ---
First-principles (PBE-GGA) data for a geometry-optimized Ce2BiBr structure, as listed in Alexandria via LeMat-Bulk.

Cell: 4.275 4.275 8.387 Å, 75.23 75.23 60.00°
Last column: magnetic moment on the atom in μB.
Fractional positions:
Ce: 0.083 0.083 0.751  1.03
Ce: 0.251 0.251 0.248  1.12
Bi: 0.668 0.668 0.997  -0.05
Br: 0.499 0.499 0.504  -0.01

Properties
As for the volume: 31.72 A^3/atom.

---

Short version: b is the least stable of them.

---

--- a ---
First-principles (PBE-GGA) data for a geometry-optimized CeBiBr structure, as listed in Alexandria via LeMat-Bulk.

Cell: 4.572 4.572 9.180 Å, 104.42 104.42 90.00°
Last column: magnetic moment on the atom in μB.
Fractional positions:
Ce: 0.123 0.123 0.245  0.59
Ce: 0.877 0.877 0.755  0.59
Br: 0.000 0.500 0.000  -0.01
Br: 0.500 0.000 0.000  -0.01
Bi: 0.685 0.685 0.370  -0.05
Bi: 0.315 0.315 0.630  -0.05

Properties
As for the volume: 29.94 A^3/atom.

---

--- b ---
First-principles (PBE-GGA) data for a geometry-optimized CeBiBr structure, as listed in Alexandria via LeMat-Bulk.

Cell: 4.429 6.329 8.233 Å, 112.34 90.00 110.48°
Last column: magnetic moment on the atom in μB.
Fractional positions:
Ce: 0.826 0.653 0.795  0.95
Ce: 0.174 0.347 0.205  0.95
Bi: 0.448 0.895 0.139  -0.03
Bi: 0.552 0.105 0.861  -0.03
Br: 0.839 0.677 0.423  -0.01
Br: 0.161 0.323 0.577  -0.01

Properties
As for the volume: 32.94 A^3/atom.

---

Short version: a is the least stable of them.

---

--- a ---
First-principles (PBE-GGA) data for a geometry-optimized CeBiBr structure, as listed in Alexandria via LeMat-Bulk.

Cell: 4.556 4.556 9.075 Å, 90.00 90.00 90.00°
Last column: magnetic moment on the atom in μB.
Fractional positions:
Ce: 0.000 0.500 0.727  1.21
Ce: 0.500 0.000 0.273  1.21
Bi: 0.000 0.000 0.000  -0.01
Bi: 0.500 0.500 0.000  -0.01
Br: 0.000 0.500 0.377  -0.01
Br: 0.500 0.000 0.623  -0.01

Properties
As for the volume: 31.39 A^3/atom.

---

--- b ---
First-principles (PBE-GGA) data for a geometry-optimized CeBiBr structure, as listed in Alexandria via LeMat-Bulk.

Cell: 4.010 5.099 5.099 Å, 120.00 90.00 90.00°
Last column: magnetic moment on the atom in μB.
Fractional positions:
Br: 0.167 0.333 0.667  -0.02
Bi: 0.667 0.667 0.333  -0.05
Ce: 0.167 0.000 0.000  0.58

Properties
As for the volume: 30.09 A^3/atom.

---

Short version: b is the least stable of them.